Density functional theory data (PBE-GGA) for a relaxed ScSnSe2N crystal.

Raw total energy: -5.323 eV per atom
Distance to the lowest polymorph of the same formula: 0 meV/atom
E_form (uncorrected): -197 meV/atom

Structure (CIF):
```
data_ScSnSe2N
_chemical_formula_sum 'Sc1 Sn1 Se2 N1'
_symmetry_space_group_name_H-M 'P 4/m m m'
_symmetry_Int_Tables_number 123
_symmetry_space_group_name_Hall '-P 4 2'
_cell_length_a 5.2985
_cell_length_b 5.2985
_cell_length_c 4.1479
_cell_angle_alpha 90.00
_cell_angle_beta 90.00
_cell_angle_gamma 90.00
loop_
_atom_site_label
_atom_site_fract_x
_atom_site_fract_y
_atom_site_fract_z
Sc1 0.0000 0.0000 0.0000
Sn1 0.5000 0.5000 0.5000
Se1 0.0000 0.5000 0.0000
N1 0.0000 0.0000 0.5000
```